VASP calculation (PBEsol) on a relaxed structure of SrMgF4.

The value obtained for the formation energy from raw total energies is -3.737 eV/atom. The density of states at the Fermi level comes out at 0.00 states/eV/cell. For the total energy, the calculation gives -5.61 eV per atom. Its magnetization is 0.00 μB per formula unit.

a = 7.488 Å, b = 7.488 Å, c = 5.614 Å
α = 90.00°, β = 90.00°, γ = 149.56°
Fractional positions:
Sr1 0.159 0.841 0.500
Sr2 0.841 0.159 0.000
Mg1 0.416 0.584 0.555
Mg2 0.584 0.416 0.055
F1 0.085 0.915 0.080
F2 0.298 0.702 0.747
F3 0.339 0.661 0.268
F4 0.465 0.535 0.893
F5 0.535 0.465 0.393
F6 0.661 0.339 0.768
F7 0.702 0.298 0.247
F8 0.915 0.085 0.580